The following is a PBE calculation of an optimized crystal structure of K2FeAg, from the Alexandria database.

Excess energy over the best structure of this formula in the dataset = 7.44 kcal/mol of atoms
Energy of formation = 3.5 eV per formula unit
Crystal system = tetragonal
Symmetry = I-42d

Lattice parameters (Å, degrees): 7.2173 7.2173 7.2173 99.99 99.99 130.76
Closest atoms and distances in Å follow each position.
Fractional coordinates of all 8 atoms:
K 0.1071 0.6250 0.9821  2 K 3.02, 2 Ag 3.25
K 0.3750 0.3571 0.4821  2 K 3.02, 2 Ag 3.25
K 0.6429 0.1250 0.0179  2 K 3.02, 2 Ag 3.25
K 0.8750 0.8929 0.5179  2 K 3.02, 2 Ag 3.25
Fe 0.2500 0.7500 0.5000  2 Ag 3.01
Fe 0.5000 0.5000 0.0000  2 Ag 3.01
Ag 0.0000 0.0000 0.0000  2 Fe 3.01, 4 K 3.25
Ag 0.7500 0.2500 0.5000  2 Fe 3.01, 4 K 3.25


The following is a PBE calculation of an optimized crystal structure of KFeAg2, from the Alexandria database.

Excess energy over the best structure of this formula in the dataset = 4.23 kcal/mol of atoms
Energy of formation = 2.5 eV per formula unit
Crystal system = orthorhombic
Symmetry = Immm

Lattice parameters (Å, degrees): 6.3404 6.3404 6.3404 153.91 127.47 59.57
Closest atoms and distances in Å follow each position.
Fractional coordinates of all 4 atoms:
K 0.0000 0.0000 0.0000  2 K 2.86, 4 Fe 3.15
Fe 0.5000 0.5000 0.0000  4 Ag 2.70, 2 Fe 2.86
Ag 0.2924 0.7924 0.5000  2 Fe 2.70, 2 Ag 2.86
Ag 0.7076 0.2076 0.5000  2 Fe 2.70, 2 Ag 2.86


The following is a PBE calculation of an optimized crystal structure of K3FeAg, from the Alexandria database.

Excess energy over the best structure of this formula in the dataset = 0.00 kcal/mol of atoms
Energy of formation = 4.1 eV per formula unit
Crystal system = cubic
Symmetry = Pm-3m

Lattice parameters (Å, degrees): 6.3877 6.3877 6.3877 90.00 90.00 90.00
Closest atoms and distances in Å follow each position.
Fractional coordinates of all 5 atoms:
K 0.0000 0.0000 0.5000  2 Ag 3.19
K 0.0000 0.5000 0.0000  2 Ag 3.19
K 0.5000 0.0000 0.0000  2 Ag 3.19
Fe 0.5000 0.5000 0.5000  12 K 4.52
Ag 0.0000 0.0000 0.0000  6 K 3.19


The following is a PBE calculation of an optimized crystal structure of K2FeAg, from the Alexandria database.

Excess energy over the best structure of this formula in the dataset = 0.48 kcal/mol of atoms
Energy of formation = 2.3 eV per formula unit
Crystal system = orthorhombic
Symmetry = Pmm2

Lattice parameters (Å, degrees): 3.6683 3.6814 10.0650 90.00 90.00 90.00
Closest atoms and distances in Å follow each position.
Fractional coordinates of all 4 atoms:
K 0.0000 0.0000 0.0000  1 Ag 3.29, 4 K 3.67-3.68
K 0.5000 0.5000 0.4136  1 Fe 3.21
Fe 0.5000 0.5000 0.7329  4 Ag 2.67
Ag 0.0000 0.0000 0.6732  4 Fe 2.67


Sequential calculated total energy output: -2.505, -3.188, -2.094, -2.807 eV per atom